The following is a PBE calculation of a geometry-optimized Ba2Os2C structure, from the Alexandria database.

excess energy over the best structure of this formula in the dataset	1.008	eV per atom
SG	P4/mbm
V	29.90	Å³ per atom
calculated formation energy	10.081	eV/f.u.
VASP energy	-5.089	eV/atom

Cell: 7.6982 7.6982 5.0446 Å, 90.00 90.00 90.00°
Closest atoms and distances in Å follow each position.
Fractional coordinates of all 10 atoms:
Ba 0.1835 0.3165 0.0000  2 C 2.82
Ba 0.3165 0.8165 0.0000  2 C 2.82
Ba 0.6835 0.1835 0.0000  2 C 2.82
Ba 0.8165 0.6835 0.0000  2 C 2.82
Os 0.1022 0.6022 0.5000  1 Os 2.23
Os 0.3978 0.1022 0.5000  1 Os 2.23
Os 0.6022 0.8978 0.5000  1 Os 2.23
Os 0.8978 0.3978 0.5000  1 Os 2.23
C 0.0000 0.0000 0.0000  4 Ba 2.82
C 0.5000 0.5000 0.0000  4 Ba 2.82